(1)
Computed, not measured: a relaxed Rb3HgBi2 crystal at the PBE level of DFT.

Output
SG ... C2/m (12)
Relative energy among the computed polymorphs ... 0.000 eV per atom

Cell lengths 5.324, 7.197, 16.739 Å; angles 63.19, 80.85, 68.29 degrees
Element x y z (fractional)
Bi  0.887  0.383  0.844
Bi  0.113  0.617  0.156
Bi  0.432  0.720  0.417
Bi  0.568  0.280  0.583
Rb  0.862  0.691  0.584
Rb  0.371  0.226  0.033
Rb  0.843  0.056  0.258
Rb  0.138  0.309  0.416
Rb  0.629  0.774  0.967
Rb  0.157  0.944  0.742
Hg  0.442  0.360  0.756
Hg  0.558  0.640  0.244


(2)
Computed, not measured: a relaxed Sc3NbSi crystal at the PBE level of DFT.

Output
Formation energy from raw total energies ... 772 meV per atom
SG ... Pm-3m (221)
Relative energy among the computed polymorphs ... 0.331 eV per atom

Cell lengths 4.989, 4.989, 4.989 Å; angles 90.00, 90.00, 90.00 degrees
Element x y z (fractional)
Sc  0.500  0.000  0.000
Sc  0.000  0.500  0.000
Sc  0.000  0.000  0.500
Nb  0.000  0.000  0.000
Si  0.500  0.500  0.500


(3)
Computed, not measured: a relaxed Ca2ReHgO6 crystal at the PBE level of DFT.

Output
Formation energy from raw total energies ... -1788 meV per atom
SG ... P4mm (99)

Cell lengths 5.437, 5.459, 5.459 Å; angles 90.00, 90.00, 90.00 degrees
Site moments in Bohr magnetons follow the coordinates.
Element x y z (fractional)
O  0.126  0.500  0.500  0.00
O  0.282  0.000  0.000  -0.02
O  0.742  0.771  0.229  0.04
O  0.742  0.771  0.771  0.04
O  0.742  0.229  0.229  0.04
O  0.742  0.229  0.771  0.04
Re  0.609  0.000  0.000  0.72
Ca  0.977  0.000  0.500  0.01
Ca  0.977  0.500  0.000  0.01
Hg  0.507  0.500  0.500  0.00


Number 1: energy -12.90 eV per formula unit, DOS(E_F) 2.3 states/eV/cell, ρ 5.5 g cm⁻³. Number 2: energy -30.63 eV per formula unit, DOS(E_F) 4.5 states/eV/cell, ρ 3.4 g cm⁻³. Number 3: energy -64.38 eV per formula unit, DOS(E_F) 2.4 states/eV/cell, ρ 5.8 g cm⁻³.